The following is a PBE+U calculation of a relaxed Na5Fe2P2C2O14 crystal, from Alexandria via LeMat-Bulk. Values from VASP.

Calculated values
- uncorrected energy (eV per atom) = -6.577
- magnetization (μB per formula unit) = 9.00
- space group = Pm, No. 6
- calculated density (Mg/m³) = 2.8

Quantum ESPRESSO input file:
```
&SYSTEM
  ibrav = 0, nat = 50, ntyp = 5
/
ATOMIC_SPECIES
P 30.97 P.upf
O 16.00 O.upf
Na 22.99 Na.upf
Fe 55.84 Fe.upf
C 12.01 C.upf
ATOMIC_POSITIONS crystal
P 0.297 0.084 0.666
P 0.717 0.913 0.337
P 0.297 0.584 0.166
P 0.717 0.413 0.837
O 0.208 0.943 0.619
O 0.420 0.895 0.355
O 0.175 0.660 0.090
O 0.592 0.090 0.660
O 0.043 0.195 0.055
O 0.704 0.414 0.336
O 0.459 0.712 0.538
O 0.420 0.395 0.855
O 0.856 0.837 0.413
O 0.208 0.130 0.807
O 0.856 0.337 0.913
O 0.298 0.595 0.655
O 0.042 0.695 0.555
O 0.522 0.300 0.450
O 0.298 0.095 0.155
O 0.459 0.212 0.038
O 0.208 0.443 0.119
O 0.787 0.363 0.698
O 0.208 0.630 0.307
O 0.949 0.312 0.438
O 0.787 0.863 0.198
O 0.522 0.800 0.950
O 0.704 0.914 0.836
O 0.787 0.052 0.387
O 0.787 0.552 0.887
O 0.949 0.812 0.938
O 0.592 0.590 0.160
O 0.175 0.160 0.589
Na 0.243 0.124 0.370
Na 0.243 0.880 0.126
Na 0.236 0.414 0.336
Na 0.243 0.624 0.870
Na 0.752 0.123 0.874
Na 0.752 0.376 0.127
Na 0.751 0.623 0.374
Na 0.236 0.914 0.836
Na 0.243 0.380 0.626
Na 0.752 0.876 0.627
Fe 0.215 0.802 0.448
Fe 0.782 0.696 0.054
Fe 0.782 0.196 0.554
Fe 0.215 0.302 0.948
C 0.267 0.163 0.087
C 0.725 0.342 0.408
C 0.725 0.842 0.908
C 0.266 0.663 0.587
CELL_PARAMETERS angstrom
-4.470 2.317 1.449
-5.139 -4.807 -8.735
-0.975 -6.984 8.725
```